## LuScCoSi2 (PBE-GGA)

Data for an optimized crystal structure of LuScCoSi2.

```
10
Lattice="5.020 -1.995 0.000 5.020 1.995 0.000 -4.536 0.000 8.393" Properties=species:S:1:pos:R:3 pbc="T T T"
Lu 1.398 0.000 0.910
Lu 4.107 0.000 7.483
Sc -1.480 0.000 2.773
Sc 6.985 0.000 5.620
Co -0.115 0.000 5.243
Co 5.620 0.000 3.150
Si 1.614 0.000 3.674
Si 4.349 0.000 1.092
Si 1.156 0.000 7.301
Si 3.891 0.000 4.720
```

mass density: 6.62 Mg/m³
M_tot: 0.04 μB/cell
DFT total energy: -6.575 eV/atom


## LuScCoSn (PBE-GGA)

Data for an optimized crystal structure of LuScCoSn.

```
4
Lattice="0.000 3.365 3.365 3.365 0.000 3.365 3.365 3.365 0.000" Properties=species:S:1:pos:R:3 pbc="T T T"
Lu 0.000 0.000 0.000
Sc 1.683 1.683 1.683
Co 5.048 5.048 5.048
Sn 3.365 3.365 3.365
```

mass density: 8.66 Mg/m³
M_tot: 1.00 μB/cell
energy relative to the lowest polymorph listed for this composition: 0.00 eV per formula unit


## LuScCo2Te2 (PBE-GGA)

Data for an optimized crystal structure of LuScCo2Te2.

```
24
Lattice="8.667 0.000 0.000 0.000 4.331 0.000 -4.326 0.000 12.253" Properties=species:S:1:pos:R:3 pbc="T T T"
Lu 0.000 0.000 0.000
Lu -2.160 2.166 9.177
Lu 2.163 2.166 9.165
Lu 6.497 2.166 3.063
Sc -0.001 0.000 6.114
Sc 2.164 2.166 3.052
Sc -0.005 0.000 12.243
Sc 4.334 0.000 6.102
Co 0.038 2.166 1.559
Co -2.126 0.000 10.733
Co 0.004 2.166 7.595
Co 2.170 0.000 4.581
Co 4.300 2.166 1.513
Co 2.130 0.000 10.732
Co 4.331 2.166 7.597
Co 6.496 0.000 4.629
Te 0.029 0.000 3.086
Te 2.191 2.166 0.012
Te 0.002 0.000 9.167
Te 2.167 2.166 6.081
Te 4.300 0.000 3.053
Te 2.135 2.166 12.250
Te 4.334 0.000 9.152
Te 6.499 2.166 6.115
```

mass density: 8.56 Mg/m³
M_tot: 0.00 μB/cell
DFT total energy: -5.980 eV/atom


## LuScTlCo (PBE-GGA)

Data for an optimized crystal structure of LuScTlCo.

```
4
Lattice="0.000 3.361 3.361 3.361 0.000 3.361 3.361 3.361 0.000" Properties=species:S:1:pos:R:3 pbc="T T T"
Lu 0.000 0.000 0.000
Sc 1.680 1.680 1.680
Tl 3.361 3.361 3.361
Co 5.041 5.041 5.041
```

mass density: 10.57 Mg/m³
M_tot: 0.00 μB/cell
energy relative to the lowest polymorph listed for this composition: 0.00 eV per formula unit


## LuCoSi (PBE-GGA)

Data for an optimized crystal structure of LuCoSi.

```
3
Lattice="0.000 2.976 2.976 2.976 0.000 2.976 2.976 2.976 0.000" Properties=species:S:1:pos:R:3 pbc="T T T"
Lu 0.000 0.000 0.000
Co 1.488 1.488 1.488
Si 2.976 2.976 2.976
```

mass density: 8.26 Mg/m³
M_tot: 0.56 μB/cell
DFT total energy: -6.063 eV/atom


## LuCoSi (PBE-GGA)

Data for an optimized crystal structure of LuCoSi.

```
12
Lattice="6.658 0.000 0.000 0.000 4.080 0.000 0.000 0.000 6.979" Properties=species:S:1:pos:R:3 pbc="T T T"
Lu 0.061 1.020 1.351
Lu 3.268 3.060 4.841
Lu 3.390 1.020 2.138
Lu 6.597 3.060 5.627
Co 1.010 3.060 3.036
Co 2.319 1.020 6.525
Co 4.339 3.060 0.453
Co 5.647 1.020 3.943
Si 1.335 1.020 4.214
Si 1.994 3.060 0.724
Si 4.664 1.020 6.255
Si 5.323 3.060 2.765
```

mass density: 9.18 Mg/m³
M_tot: 0.01 μB/cell
DFT total energy: -6.463 eV/atom